(1)
GGA-PBE NdSc2S4, optimized geometry; uncorrected formation energy = -1.984 eV/atom; space group = Cmcm (63); VASP energy = -47.827 eV per formula unit
1.0
-2.3898 -2.8589 0.5373
4.9097 -0.8667 4.0370
-6.1153 6.7831 8.8933
S Sc Nd
8 4 2
direct
0.2299 0.4598 0.6153
0.9488 0.8976 0.7500
0.5000 0.0000 0.5000
0.5000 0.0000 0.0000
0.7701 0.5402 0.1153
0.7701 0.5402 0.3847
0.2299 0.4598 0.8847
0.0512 0.1024 0.2500
0.8712 0.7423 0.9361
0.8712 0.7423 0.5639
0.1288 0.2577 0.4361
0.1288 0.2577 0.0639
0.3793 0.7585 0.2500
0.6207 0.2415 0.7500



(2)
GGA-PBE Nd6ScS8, optimized geometry; uncorrected formation energy = -2.025 eV/atom; space group = Fm-3m (225); VASP energy = -98.341 eV per formula unit
1.0
0.1080 -5.4048 5.9937
6.9347 -3.5529 2.1059
3.5055 1.8426 7.0331
Nd S Sc
6 8 1
direct
0.5000 0.0000 0.5000
0.0000 0.5000 0.0000
0.0000 0.0000 0.5000
0.5000 0.5000 0.0000
0.0000 0.5000 0.5000
0.5000 0.0000 0.0000
0.7650 0.2350 0.2350
0.2350 0.7650 0.7650
0.7650 0.2350 0.7650
0.2350 0.2350 0.7650
0.7650 0.7650 0.2350
0.2350 0.7650 0.2350
0.2500 0.2500 0.2500
0.7500 0.7500 0.7500
0.0000 0.0000 0.0000



(3)
GGA-PBE Nd3ScS, optimized geometry; uncorrected formation energy = -0.603 eV/atom; space group = Pm-3m (221); VASP energy = -27.778 eV per formula unit
1.0
-3.9617 -1.5251 -3.4116
3.1484 -4.0406 -1.8497
-2.0131 -3.3178 3.8210
Sc S Nd
1 1 3
direct
0.5000 0.5000 0.5000
0.0000 0.0000 0.0000
0.0000 0.5000 0.0000
0.5000 0.0000 0.0000
0.0000 0.0000 0.5000



(4)
GGA-PBE Nd5ScS6, optimized geometry; uncorrected formation energy = -1.977 eV/atom; space group = C2/m (12); VASP energy = -78.663 eV per formula unit
1.0
6.8277 -0.1127 -1.2882
-3.6945 5.7430 -1.2882
0.1341 0.2410 6.9510
Nd S Sc
5 6 1
direct
0.8270 0.1730 0.5000
0.3335 0.6665 0.0000
0.1730 0.8270 0.5000
0.6665 0.3335 0.0000
0.5000 0.5000 0.5000
0.7654 0.7654 0.2434
0.2346 0.2346 0.7566
0.3948 0.0784 0.2371
0.0784 0.3948 0.2371
0.6052 0.9216 0.7629
0.9216 0.6052 0.7629
0.0000 0.0000 0.0000



(5)
GGA-PBE NdSc4S6, optimized geometry; uncorrected formation energy = -1.952 eV/atom; space group = Cmcm (63); VASP energy = -76.326 eV per formula unit
1.0
3.7307 0.0000 0.0000
-1.8653 6.0933 0.0000
0.0000 0.0000 19.0837
S Sc Nd
12 8 2
direct
0.5000 0.0000 0.5000
0.7680 0.5360 0.4129
0.0439 0.0877 0.1599
0.2320 0.4640 0.9129
0.5000 0.0000 0.0000
0.7680 0.5360 0.0871
0.0439 0.0877 0.3401
0.9561 0.9123 0.6599
0.2320 0.4640 0.5871
0.9561 0.9123 0.8401
0.6739 0.3477 0.7500
0.3261 0.6523 0.2500
0.4062 0.8123 0.3764
0.8600 0.7199 0.9615
0.5938 0.1877 0.8764
0.4062 0.8123 0.1236
0.5938 0.1877 0.6236
0.8600 0.7199 0.5385
0.1400 0.2801 0.4615
0.1400 0.2801 0.0385
0.3457 0.6914 0.7500
0.6543 0.3086 0.2500



(6)
GGA-PBE NdScS2, optimized geometry; relative energy among the computed polymorphs = 0.0 meV/atom; uncorrected formation energy = -1.929 eV/atom; space group = R-3m (166); VASP energy = -27.070 eV per formula unit
1.0
-2.0772 3.1273 -0.7821
-3.7721 -0.3089 -0.6183
-3.0590 1.7888 5.8758
Nd S Sc
1 2 1
direct
0.5000 0.5000 0.5000
0.7395 0.7395 0.7816
0.2605 0.2605 0.2184
0.0000 0.0000 0.0000



(7)
GGA-PBE Nd4ScS7, optimized geometry; uncorrected formation energy = -2.020 eV/atom; space group = Cm (8); VASP energy = -78.536 eV per formula unit
1.0
3.9008 0.0000 0.0000
-1.9504 6.3063 -1.6967
0.0000 -0.0494 11.7720
S Nd Sc
7 4 1
direct
0.3361 0.6723 0.9466
0.9621 0.9242 0.2154
0.2749 0.5498 0.6463
0.7462 0.4923 0.3646
0.4892 0.9784 0.5068
0.0335 0.0670 0.7704
0.6607 0.3214 0.0513
0.9988 0.9976 0.9941
0.3030 0.6060 0.1969
0.1105 0.2210 0.4314
0.6972 0.3945 0.7996
0.8878 0.7756 0.5764



(8)
GGA-PBE NdScS3, optimized geometry; uncorrected formation energy = -1.970 eV/atom; space group = Pnma (62); VASP energy = -33.331 eV per formula unit
1.0
3.8271 0.0000 0.0000
0.0000 8.0412 0.0000
0.0000 0.0000 14.0419
Nd S Sc
4 12 4
direct
0.7500 0.8662 0.8046
0.2500 0.1338 0.1954
0.2500 0.6338 0.3046
0.7500 0.3662 0.6954
0.7500 0.9979 0.6106
0.7500 0.8427 0.2032
0.2500 0.6573 0.7032
0.7500 0.4979 0.8894
0.2500 0.8374 0.9559
0.2500 0.3374 0.5441
0.2500 0.0021 0.3894
0.2500 0.5021 0.1106
0.7500 0.3427 0.2968
0.7500 0.6626 0.4559
0.2500 0.1573 0.7968
0.7500 0.1626 0.0441
0.2500 0.3171 0.9573
0.7500 0.6829 0.0427
0.7500 0.1829 0.4573
0.2500 0.8171 0.5427